[1]
Below is a geometry-optimized AlCdSn structure, with properties calculated at the PBE-GGA level.

Cell lengths 3.3373, 4.9331, 4.9331 Å; angles 120.00, 90.00, 90.00 degrees
Positions (direct):
Al: 0.1745 0.3333 0.6667
Sn: 0.6661 0.6667 0.3333
Cd: 0.1594 0.0000 0.0000

Values from the calculation:
Final energy   -2.70 eV per atom
Symmetry   P3m1
DOS at the Fermi energy   0.45 states/eV per atom
Distance to the lowest polymorph of the same formula   76 meV/atom

---

[2]
Below is a geometry-optimized AlCd4Sn structure, with properties calculated at the PBE-GGA level.

Cell lengths 5.8918, 5.8918, 5.8918 Å; angles 60.00, 60.00, 60.00 degrees
Positions (direct):
Al: 0.0000 0.0000 0.0000
Sn: 0.2500 0.2500 0.2500
Cd: 0.6252 0.6251 0.1246
Cd: 0.6252 0.1246 0.6251
Cd: 0.6252 0.6251 0.6251
Cd: 0.1246 0.6251 0.6251

Values from the calculation:
Final energy   -1.70 eV per atom
Symmetry   F-43m
DOS at the Fermi energy   0.53 states/eV per atom

---

[3]
Below is a geometry-optimized AlCdSn2 structure, with properties calculated at the PBE-GGA level.

Cell lengths 3.1697, 3.1697, 11.5747 Å; angles 82.13, 82.13, 60.00 degrees
Positions (direct):
Al: 0.0000 0.0000 0.0000
Sn: 0.0837 0.0837 0.7490
Sn: 0.9163 0.9163 0.2510
Cd: 0.5000 0.5000 0.5000

Values from the calculation:
Final energy   -2.98 eV per atom
Symmetry   R-3m
DOS at the Fermi energy   0.68 states/eV per atom
Distance to the lowest polymorph of the same formula   68 meV/atom

---

[4]
Below is a geometry-optimized Al2Cd2Sn structure, with properties calculated at the PBE-GGA level.

Cell lengths 8.1535, 8.1535, 3.3641 Å; angles 90.00, 90.00, 90.00 degrees
Positions (direct):
Al: 0.3815 0.8815 0.0000
Al: 0.8815 0.6185 0.0000
Al: 0.6185 0.1185 0.0000
Al: 0.1185 0.3815 0.0000
Sn: 0.0000 0.0000 0.0000
Sn: 0.5000 0.5000 0.0000
Cd: 0.1801 0.6801 0.5000
Cd: 0.6801 0.8199 0.5000
Cd: 0.8199 0.3199 0.5000
Cd: 0.3199 0.1801 0.5000

Values from the calculation:
Final energy   -2.48 eV per atom
Symmetry   P4/mbm
DOS at the Fermi energy   0.51 states/eV per atom
Distance to the lowest polymorph of the same formula   0 meV/atom

---

[5]
Below is a geometry-optimized AlCdSn3 structure, with properties calculated at the PBE-GGA level.

Cell lengths 5.5122, 5.5122, 5.5122 Å; angles 90.00, 90.00, 90.00 degrees
Positions (direct):
Al: 0.5000 0.5000 0.5000
Sn: 0.0000 0.5000 0.0000
Sn: 0.0000 0.0000 0.5000
Sn: 0.5000 0.0000 0.0000
Cd: 0.0000 0.0000 0.0000

Values from the calculation:
Final energy   -2.61 eV per atom
Symmetry   Pm-3m
DOS at the Fermi energy   0.86 states/eV per atom
Distance to the lowest polymorph of the same formula   309 meV/atom

---

[6]
Below is a geometry-optimized AlCdSn2 structure, with properties calculated at the PBE-GGA level.

Cell lengths 5.1586, 5.1586, 5.1586 Å; angles 60.00, 60.00, 60.00 degrees
Positions (direct):
Al: 0.0000 0.0000 0.0000
Sn: 0.2500 0.2500 0.2500
Sn: 0.7500 0.7500 0.7500
Cd: 0.5000 0.5000 0.5000

Values from the calculation:
Final energy   -3.00 eV per atom
Symmetry   Fm-3m
DOS at the Fermi energy   0.54 states/eV per atom
Distance to the lowest polymorph of the same formula   48 meV/atom